(1)
Entry from the Alexandria database: a relaxed CsPd2Br6 crystal (PBE).

Lattice parameters (Å, degrees): 5.1479 12.1400 12.1400 118.73 97.05 97.05
Fractional positions:
Cs: 0.2500 0.1870 0.8130
Cs: 0.7500 0.8130 0.1870
Pd: 0.0662 0.6018 0.7371
Pd: 0.4338 0.2629 0.3982
Pd: 0.9338 0.3982 0.2629
Pd: 0.5662 0.7371 0.6018
Br: 0.5522 0.5921 0.6993
Br: 0.9478 0.3007 0.4079
Br: 0.4478 0.4079 0.3007
Br: 0.0522 0.6993 0.5921
Br: 0.5566 0.8567 0.4877
Br: 0.9434 0.5123 0.1433
Br: 0.4434 0.1433 0.5123
Br: 0.0566 0.4877 0.8567
Br: 0.1895 0.8169 0.9635
Br: 0.3105 0.0365 0.1831
Br: 0.8105 0.1831 0.0365
Br: 0.6895 0.9635 0.8169

SG: C2/c
Energy above the most stable polymorph in this dataset: 21 meV/atom

***

(2)
Entry from the Alexandria database: a relaxed Cs3PdBr6 crystal (PBE).

Lattice parameters (Å, degrees): 9.7094 9.7094 9.7094 89.96 89.96 89.96
Site moments in Bohr magnetons follow the coordinates.
Fractional positions:
Cs: 0.4397 0.9305 0.7590  0.00
Cs: 0.9305 0.7590 0.4397  0.00
Cs: 0.2410 0.5603 0.0695  0.00
Cs: 0.7590 0.4397 0.9305  0.00
Cs: 0.0695 0.2410 0.5603  0.00
Cs: 0.5603 0.0695 0.2410  0.00
Pd: 0.0000 0.0000 0.0000  0.48
Pd: 0.5000 0.5000 0.5000  0.51
Br: 0.2448 0.9351 0.0883  0.06
Br: 0.0649 0.9117 0.7552  0.06
Br: 0.5565 0.7582 0.4513  0.06
Br: 0.9117 0.7552 0.0649  0.06
Br: 0.4513 0.5565 0.7582  0.06
Br: 0.2418 0.5487 0.4435  0.06
Br: 0.7582 0.4513 0.5565  0.06
Br: 0.5487 0.4435 0.2418  0.06
Br: 0.0883 0.2448 0.9351  0.06
Br: 0.4435 0.2418 0.5487  0.06
Br: 0.9351 0.0883 0.2448  0.06
Br: 0.7552 0.0649 0.9117  0.06

SG: R-3

***

(3)
Entry from the Alexandria database: a relaxed Cs4PdBr5 crystal (PBE).

Lattice parameters (Å, degrees): 7.4021 8.5410 8.5410 79.18 64.32 64.32
Site moments in Bohr magnetons follow the coordinates.
Fractional positions:
Cs: 0.4174 0.3862 0.7944  0.00
Cs: 0.8037 0.7944 0.6138  0.00
Cs: 0.2119 0.2056 0.3862  0.00
Cs: 0.5981 0.6138 0.2056  0.00
Pd: 0.0137 0.0000 0.0000  0.69
Br: 0.9223 0.3205 0.8389  0.05
Br: 0.2428 0.8389 0.6795  0.05
Br: 0.7611 0.1611 0.3205  0.05
Br: 0.0816 0.6795 0.1611  0.05
Br: 0.4577 0.0000 0.0000  0.00

SG: I4

***

(4)
Entry from the Alexandria database: a relaxed Cs2PdBr6 crystal (PBE).

Lattice parameters (Å, degrees): 7.7753 7.7753 7.7753 60.00 60.00 60.00
Fractional positions:
Cs: 0.2500 0.2500 0.2500
Cs: 0.7500 0.7500 0.7500
Br: 0.2290 0.2290 0.7710
Br: 0.2290 0.7710 0.7710
Br: 0.7710 0.2290 0.7710
Br: 0.7710 0.2290 0.2290
Br: 0.2290 0.7710 0.2290
Br: 0.7710 0.7710 0.2290
Pd: 0.0000 0.0000 0.0000

SG: Fm-3m

***

(5)
Entry from the Alexandria database: a relaxed Cs2PrPdBr6 crystal (PBE).

Lattice parameters (Å, degrees): 8.0709 8.0709 14.0513 73.31 73.31 60.00
Site moments in Bohr magnetons follow the coordinates.
Fractional positions:
Cs: 0.8748 0.8748 0.3755  0.00
Cs: 0.1252 0.1252 0.6245  0.00
Cs: 0.7063 0.7063 0.8812  0.00
Cs: 0.2937 0.2937 0.1188  0.00
Pr: 0.5833 0.5833 0.2500  0.01
Pr: 0.4167 0.4167 0.7500  0.01
Pd: 0.0000 0.0000 0.0000  0.70
Pd: 0.5000 0.5000 0.5000  0.67
Br: 0.8763 0.3719 0.3799  0.05
Br: 0.3719 0.8763 0.3799  0.05
Br: 0.3719 0.3719 0.3799  0.05
Br: 0.1237 0.6281 0.6201  0.05
Br: 0.6281 0.1237 0.6201  0.05
Br: 0.6281 0.6281 0.6201  0.05
Br: 0.7153 0.2039 0.8770  0.03
Br: 0.2039 0.7153 0.8770  0.03
Br: 0.2039 0.2039 0.8770  0.03
Br: 0.2847 0.7961 0.1230  0.03
Br: 0.7961 0.2847 0.1230  0.03
Br: 0.7961 0.7961 0.1230  0.03

SG: R-3m

***

(6)
Entry from the Alexandria database: a relaxed CsPdPtBr6 crystal (PBE).

Lattice parameters (Å, degrees): 6.7740 6.8069 7.7738 81.12 95.70 71.37
Fractional positions:
Cs: 0.1334 0.1393 0.0013
Pd: 0.3142 0.3090 0.5012
Pt: 0.6529 0.6530 0.4998
Br: 0.9457 0.3761 0.3693
Br: 0.3691 0.9371 0.6319
Br: 0.6151 0.3457 0.7057
Br: 0.9372 0.6748 0.7160
Br: 0.3572 0.6176 0.2965
Br: 0.6750 0.9476 0.2781

SG: P1

***

(7)
Entry from the Alexandria database: a relaxed Cs2RbPdBr6 crystal (PBE).

Lattice parameters (Å, degrees): 8.2573 8.2573 8.2562 60.00 60.00 90.00
Site moments in Bohr magnetons follow the coordinates.
Fractional positions:
Cs: 0.7500 0.2500 0.5000  0.00
Cs: 0.2500 0.7500 0.5000  0.00
Br: 0.2210 0.2210 0.5580  0.06
Br: 0.7790 0.7790 0.4420  0.06
Br: 0.2210 0.2210 0.0000  0.06
Br: 0.7790 0.7790 0.0000  0.06
Br: 0.7790 0.2210 0.0000  0.06
Br: 0.2210 0.7790 0.0000  0.06
Rb: 0.5000 0.5000 0.0000  0.01
Pd: 0.0000 0.0000 0.0000  0.47

SG: Fm-3m
Energy above the most stable polymorph in this dataset: 18 meV/atom

***

(8)
Entry from the Alexandria database: a relaxed CsRb2PdBr6 crystal (PBE).

Lattice parameters (Å, degrees): 8.2425 8.2425 8.4501 60.81 60.81 90.00
Site moments in Bohr magnetons follow the coordinates.
Fractional positions:
Cs: 0.0000 0.0000 0.0000  0.02
Br: 0.2754 0.2754 0.4493  0.15
Br: 0.7246 0.7246 0.5507  0.15
Br: 0.2854 0.2854 0.0000  0.02
Br: 0.7146 0.7146 0.0000  0.02
Br: 0.7146 0.2854 0.0000  0.02
Br: 0.2854 0.7146 0.0000  0.02
Rb: 0.7500 0.2500 0.5000  0.00
Rb: 0.2500 0.7500 0.5000  0.00
Pd: 0.5000 0.5000 0.0000  0.45

SG: I4/mmm

***

(9)
Entry from the Alexandria database: a relaxed Cs2RbPdBr6 crystal (PBE).

Lattice parameters (Å, degrees): 7.7727 7.7727 16.9066 76.71 76.71 60.00
Site moments in Bohr magnetons follow the coordinates.
Fractional positions:
Cs: 0.8610 0.8610 0.4171  0.00
Cs: 0.1390 0.1390 0.5829  0.00
Cs: 0.6925 0.6925 0.9224  0.00
Cs: 0.3075 0.3075 0.0776  0.00
Rb: 0.5850 0.5850 0.2451  0.01
Rb: 0.4150 0.4150 0.7549  0.01
Pd: 0.0000 0.0000 0.0000  0.52
Pd: 0.5000 0.5000 0.5000  0.41
Br: 0.8474 0.3723 0.4080  0.05
Br: 0.3723 0.8474 0.4080  0.05
Br: 0.3723 0.3723 0.4080  0.05
Br: 0.1526 0.6277 0.5920  0.05
Br: 0.6277 0.1526 0.5920  0.05
Br: 0.6277 0.6277 0.5920  0.05
Br: 0.7184 0.1877 0.9062  0.06
Br: 0.1877 0.7184 0.9062  0.06
Br: 0.1877 0.1877 0.9062  0.06
Br: 0.2816 0.8123 0.0938  0.06
Br: 0.8123 0.2816 0.0938  0.06
Br: 0.8123 0.8123 0.0938  0.06

SG: R-3m
Energy above the most stable polymorph in this dataset: 0 meV/atom

***

| no. | Fermi-level density of states (states/eV per cell) | electronic total energy (hartree per atom) |
| --- | --- | --- |
| 1 | 5.25 | -0.1062 |
| 2 | 13.80 | -0.1070 |
| 3 | 0.51 | -0.1107 |
| 4 | 0.00 | -0.1057 |
| 5 | 12.29 | -0.1332 |
| 6 | 4.44 | -0.1105 |
| 7 | 7.56 | -0.1075 |
| 8 | 0.02 | -0.1057 |
| 9 | 8.68 | -0.1082 |